# 1
Computed, not measured: a relaxed ZrAs2P crystal at the PBE level of DFT.

Cell: 3.498 3.775 6.087 Å, 67.32 90.00 90.00°
Sites, in units of the cell vectors:
As 0.000 0.106 0.994
As 0.000 0.394 0.506
P 0.500 0.250 0.250
Zr 0.500 0.750 0.750

Calculated values
Symmetry ... P2/m, No. 10
Calculated density ... 6.090 Mg/m³
VASP energy ... -24.65 eV/cell


# 2
Computed, not measured: a relaxed Zr5AsP4 crystal at the PBE level of DFT.

Cell: 3.768 5.324 10.008 Å, 105.42 100.85 90.00°
Sites, in units of the cell vectors:
Zr 0.606 0.106 0.212
Zr 0.800 0.300 0.600
Zr 0.200 0.700 0.400
Zr 0.000 0.500 0.000
Zr 0.394 0.894 0.788
As 0.000 0.000 0.000
P 0.400 0.400 0.800
P 0.798 0.798 0.596
P 0.202 0.202 0.404
P 0.600 0.600 0.200

Calculated values
Symmetry ... Immm, No. 71
Calculated density ... 5.730 Mg/m³
VASP energy ... -81.85 eV/cell


# 3
Computed, not measured: a relaxed Zr2AsP crystal at the PBE level of DFT.

Cell: 4.891 4.891 4.891 Å, 131.82 115.84 84.11°
Sites, in units of the cell vectors:
As 0.750 0.250 0.500
P 0.250 0.750 0.500
Zr 0.019 0.019 0.000
Zr 0.481 0.481 0.000

Calculated values
Symmetry ... Immm, No. 71
Calculated density ... 6.354 Mg/m³
VASP energy ... -30.58 eV/cell


# 4
Computed, not measured: a relaxed ZrAs2P crystal at the PBE level of DFT.

Cell: 4.715 4.715 4.715 Å, 60.00 60.00 60.00°
Sites, in units of the cell vectors:
As 0.000 0.000 0.000
As 0.250 0.250 0.250
P 0.500 0.500 0.500
Zr 0.750 0.750 0.750

Calculated values
Symmetry ... F-43m, No. 216
Calculated density ... 6.094 Mg/m³
VASP energy ... -23.28 eV/cell


# 5
Computed, not measured: a relaxed ZrAs2P crystal at the PBE level of DFT.

Cell: 5.805 5.805 3.879 Å, 70.97 70.97 124.72°
Sites, in units of the cell vectors:
As 0.000 0.000 0.000
As 0.500 0.500 0.000
P 0.500 0.000 0.500
Zr 0.000 0.500 0.500

Calculated values
Symmetry ... C2/m, No. 12
Calculated density ... 5.909 Mg/m³
VASP energy ... -24.57 eV/cell


# 6
Computed, not measured: a relaxed Zr4AsP crystal at the PBE level of DFT.

Cell: 5.647 5.647 5.647 Å, 60.00 60.00 60.00°
Sites, in units of the cell vectors:
Zr 0.875 0.375 0.375
Zr 0.375 0.375 0.875
Zr 0.375 0.875 0.375
Zr 0.375 0.375 0.375
As 0.750 0.750 0.750
P 0.000 0.000 0.000

Calculated values
Symmetry ... F-43m, No. 216
Relative energy among the computed polymorphs ... 0.942 eV per atom
Calculated density ... 6.139 Mg/m³


# 7
Computed, not measured: a relaxed ZrAs2P crystal at the PBE level of DFT.

Cell: 3.442 3.673 6.320 Å, 71.23 90.00 90.00°
Sites, in units of the cell vectors:
As 0.000 0.121 0.972
As 0.500 0.262 0.265
P 0.000 0.364 0.531
Zr 0.500 0.754 0.732

Calculated values
Symmetry ... Pm, No. 6
Calculated density ... 5.971 Mg/m³
VASP energy ... -24.87 eV/cell


# 8
Computed, not measured: a relaxed ZrAs2P crystal at the PBE level of DFT.

Cell: 5.199 5.199 5.199 Å, 140.63 126.62 68.32°
Sites, in units of the cell vectors:
As 0.966 0.966 0.000
As 0.534 0.534 0.000
P 0.750 0.250 0.500
Zr 0.250 0.750 0.500

Calculated values
Symmetry ... Immm, No. 71
Calculated density ... 6.417 Mg/m³
VASP energy ... -24.69 eV/cell


# 9
Computed, not measured: a relaxed Zr2AsP2 crystal at the PBE level of DFT.

Cell: 3.553 3.553 7.520 Å, 76.34 76.34 90.00°
Sites, in units of the cell vectors:
P 0.750 0.250 0.500
P 0.250 0.750 0.500
As 0.000 0.000 0.000
Zr 0.391 0.391 0.218
Zr 0.609 0.609 0.782

Calculated values
Symmetry ... I4/mmm, No. 139
Relative energy among the computed polymorphs ... 0.065 eV per atom
Calculated density ... 5.926 Mg/m³


# 10
Computed, not measured: a relaxed ZrAs2P crystal at the PBE level of DFT.

Cell: 3.795 3.795 5.575 Å, 90.00 90.00 90.00°
Sites, in units of the cell vectors:
As 0.000 0.000 0.052
As 0.500 0.500 0.158
P 0.000 0.000 0.626
Zr 0.500 0.500 0.663

Calculated values
Symmetry ... P4mm, No. 99
Calculated density ... 5.625 Mg/m³
VASP energy ... -24.98 eV/cell


# 11
Computed, not measured: a relaxed ZrAs2P crystal at the PBE level of DFT.

Cell: 4.498 4.498 3.624 Å, 90.00 90.00 90.00°
Sites, in units of the cell vectors:
As 0.000 0.000 0.000
As 0.500 0.500 0.000
P 0.500 0.000 0.500
Zr 0.000 0.500 0.500

Calculated values
Symmetry ... P4/mmm, No. 123
Calculated density ... 6.162 Mg/m³
VASP energy ... -23.73 eV/cell


# 12
Computed, not measured: a relaxed Zr2AsP crystal at the PBE level of DFT.

Cell: 3.731 3.731 6.857 Å, 74.21 74.21 60.00°
Sites, in units of the cell vectors:
Zr 0.075 0.075 0.776
Zr 0.259 0.259 0.224
As 0.499 0.499 0.503
P 0.667 0.667 0.998

Calculated values
Symmetry ... R3m, No. 160
Calculated density ... 6.100 Mg/m³
VASP energy ... -32.28 eV/cell


Question: Which value of calculated density does entry 3 give?
Answer: 6.354 Mg/m³


Question: The highest calculated density belongs to which entry?
Answer: number 8